LiHfN2 | PBE | relaxed

Results
Calculated volume = 9.531 Å³/atom
Energy above the lowest structure with this stoichiometry = 304 meV per atom

Unit cell a=3.7777 b=3.7777 c=3.7777 alpha=60.00 beta=60.00 gamma=60.00
Fractional coordinates of all 4 atoms:
Hf: 0.5000 0.5000 0.5000
N: 0.2500 0.2500 0.2500
N: 0.7500 0.7500 0.7500
Li: 0.0000 0.0000 0.0000